8
Lattice="8.166 0.000 0.000 0.000 8.166 0.000 4.083 4.083 2.941" Properties=species:S:1:pos:R:3 comment="ZrGa2I PBE-GGA relaxed" e_tot_ry_per_atom=-0.28053 polymorph_energy_mev_per_atom=0.0 rho_g_cm3=6.05 raw_formation_energy_ev_per_atom=0.221 dos_at_fermi_per_ev_atom=0.8391 pbc="T T T"
Ga 6.125 6.380 2.206
Zr 4.083 4.083 0.000
Ga 2.297 6.125 0.735
Ga 10.208 9.953 2.206
Ga 5.870 2.042 0.735
I 0.000 0.000 0.000
I 8.166 4.083 1.471
Zr 4.083 8.166 1.471